# 1
A plane-wave DFT calculation with GGA-PBE was carried out for K2Cl after structural relaxation.

It has space group Cmcm (No. 63), with a = 4.501 Å, b = 18.923 Å, c = 6.539 Å, α = 90.00°, β = 90.00° and γ = 90.00°. The distinct sites, in fractional coordinates, are K at (0.000, 0.074, 0.250), K at (0.000, 0.313, 0.250) and Cl at (0.000, 0.304, 0.750).

For the uncorrected formation energy, the calculation gives -1.23 eV per atom. Its crystal system is orthorhombic. The value obtained for the polymorph energy (0 for the lowest one) is 12 meV per atom.

=====

# 2
A plane-wave DFT calculation with GGA-PBE was carried out for Tb3NdEr5 after structural relaxation.

It has space group C2/m (No. 12), with a = 16.738 Å, b = 7.953 Å, c = 12.221 Å, α = 90.00°, β = 130.79° and γ = 90.00°. The distinct sites, in fractional coordinates, are Tb at (0.000, 0.000, 0.000), Tb at (0.000, 0.500, 0.500), Tb at (0.119, 0.000, 0.812), Tb at (0.176, 0.500, 0.843), Nd at (0.237, 0.500, 0.630), Er at (0.000, 0.179, 0.500), Er at (0.065, 0.295, 0.281), Er at (0.123, 0.500, 0.066) and Er at (0.200, 0.000, 0.571).

The formation energy is 0.415 eV per atom. Its crystal system is monoclinic. The value obtained for the polymorph energy (0 for the lowest one) is 239 meV per atom.

=====

# 3
A plane-wave DFT calculation with GGA-PBE was carried out for MnNiCl2 after structural relaxation.

It has space group Fm-3m (No. 225), with a = 6.316 Å, b = 6.316 Å, c = 6.316 Å, α = 90.00°, β = 90.00° and γ = 90.00°. The distinct sites, in fractional coordinates, are Mn at (0.000, 0.000, 0.000), Ni at (0.000, 0.000, 0.500) and Cl at (0.250, 0.250, 0.250).

For the uncorrected formation energy, the calculation gives 0.12 eV per atom. Its crystal system is cubic. The value obtained for the polymorph energy (0 for the lowest one) is 510 meV per atom.

=====

# 4
A plane-wave DFT calculation with GGA-PBE was carried out for Ba2Ag3Pd after structural relaxation.

It has space group Fmmm (No. 69), with a = 8.773 Å, b = 9.706 Å, c = 16.681 Å, α = 90.00°, β = 90.00° and γ = 90.00°. The distinct sites, in fractional coordinates, are Ba at (0.245, 0.000, 0.000), Ba at (0.250, 0.250, 0.250), Ag at (0.000, 0.000, 0.331), Ag at (0.000, 0.249, 0.084) and Pd at (0.000, 0.000, 0.165).

The formation energy is -0.336 eV per atom. Its crystal system is orthorhombic.

=====

Listing VASP energy for the structures above in their given order: -2.579; -4.194; -4.541; -3.268 eV/atom.